Record 1
A geometry-optimized VCr3Tc structure. Source: Alexandria, functional PBE.

volume	12.86	A^3/atom
SG	C2/c (15)
energy of formation from the pure elements	0.16	eV/atom
total magnetization	0.0	μB per formula unit

a b c (Å): 7.478 7.478 4.772
angles (deg): 97.98 97.98 78.39
Fractional positions:
1 V 0.130 0.870 0.750
2 V 0.158 0.842 0.250
3 V 0.842 0.158 0.750
4 V 0.870 0.130 0.250
5 Cr 0.004 0.371 0.100
6 Cr 0.149 0.265 0.628
7 Cr 0.168 0.539 0.441
8 Cr 0.265 0.149 0.128
9 Cr 0.371 0.004 0.600
10 Cr 0.461 0.832 0.059
11 Cr 0.539 0.168 0.941
12 Cr 0.629 0.996 0.400
13 Cr 0.735 0.851 0.872
14 Cr 0.832 0.461 0.559
15 Cr 0.851 0.735 0.372
16 Cr 0.996 0.629 0.900
17 Tc 0.328 0.509 0.971
18 Tc 0.491 0.672 0.529
19 Tc 0.509 0.328 0.471
20 Tc 0.672 0.491 0.029


Record 2
A geometry-optimized MgSnHg structure. Source: Alexandria, functional PBE.

volume	24.69	A^3/atom
SG	P3m1 (156)
energy of formation from the pure elements	-0.04	eV/atom
total magnetization	0.0	μB per formula unit

a b c (Å): 4.820 4.820 3.682
angles (deg): 90.00 90.00 120.00
Fractional positions:
1 Mg 0.000 0.000 0.000
2 Sn 0.333 0.667 0.571
3 Hg 0.667 0.333 0.215


Record 3
A geometry-optimized FeCuNiSn structure. Source: Alexandria, functional PBE.

volume	13.79	A^3/atom
SG	F-43m (216)
energy of formation from the pure elements	0.07	eV/atom
total magnetization	2.4	μB per formula unit

a b c (Å): 4.273 4.273 4.273
angles (deg): 60.00 60.00 60.00
Fractional positions:
1 Fe 0.000 0.000 0.000
2 Cu 0.750 0.750 0.750
3 Ni 0.500 0.500 0.500
4 Sn 0.250 0.250 0.250


Record 4
A geometry-optimized PmGa2Cl8 structure. Source: Alexandria, functional PBE.

volume	34.56	A^3/atom
uncorrected formation energy	-1.364	eV/atom
SG	C2/m (12)
total magnetization	0.0	μB per formula unit

a b c (Å): 7.982 7.982 6.683
angles (deg): 97.73 97.73 64.72
Fractional positions:
1 Pm 0.000 0.000 0.000
2 Ga 0.191 0.191 0.652
3 Ga 0.809 0.809 0.348
4 Cl 0.100 0.700 0.225
5 Cl 0.168 0.168 0.295
6 Cl 0.300 0.900 0.775
7 Cl 0.351 0.351 0.769
8 Cl 0.649 0.649 0.231
9 Cl 0.700 0.100 0.225
10 Cl 0.832 0.832 0.705
11 Cl 0.900 0.300 0.775